10
Lattice="7.342 0.000 0.000 0.000 7.342 0.000 0.000 0.000 3.615" Properties=species:S:1:pos:R:3 comment="YHf2Si2, relaxed, DFT PBE-GGA" magnetic_moment_mub_per_cell=0.000 e_form_raw_ev_per_atom=-0.645 density_g_cm3=8.6 pbc="T T T"
Y 0.000 0.000 0.000
Y 3.671 3.671 0.000
Hf 1.261 2.410 1.807
Hf 2.410 6.082 1.807
Hf 4.932 1.261 1.807
Hf 6.082 4.932 1.807
Si 0.879 4.550 0.000
Si 2.792 0.879 0.000
Si 4.550 6.463 0.000
Si 6.463 2.792 0.000

4
Lattice="0.000 3.406 3.406 3.406 0.000 3.406 3.406 3.406 0.000" Properties=species:S:1:pos:R:3 comment="YHfSi2, relaxed, DFT PBE-GGA" magnetic_moment_mub_per_cell=0.000 e_form_raw_ev_per_atom=-0.254 density_g_cm3=6.8 pbc="T T T"
Y 0.000 0.000 0.000
Hf 3.406 3.406 3.406
Si 1.703 1.703 1.703
Si 5.110 5.110 5.110

8
Lattice="-2.770 2.770 7.512 2.770 -2.770 7.512 2.770 2.770 -7.512" Properties=species:S:1:pos:R:3 comment="YHfSi2, relaxed, DFT PBE-GGA" magnetic_moment_mub_per_cell=0.000 e_form_raw_ev_per_atom=0.332 density_g_cm3=4.7 pbc="T T T"
Y 0.000 0.000 0.000
Y 0.000 2.770 3.756
Hf 2.770 0.000 3.756
Hf 0.000 0.000 7.512
Si 1.385 -1.102 5.634
Si 1.669 1.385 1.878
Si 1.385 3.872 -1.878
Si 1.102 1.385 9.390

5
Lattice="5.027 0.000 0.000 0.000 5.027 0.000 0.000 0.000 5.027" Properties=species:S:1:pos:R:3 comment="YHfSi3, relaxed, DFT PBE-GGA" magnetic_moment_mub_per_cell=0.000 e_form_raw_ev_per_atom=1.206 density_g_cm3=4.6 pbc="T T T"
Y 0.000 0.000 0.000
Hf 2.513 2.513 2.513
Si 0.000 0.000 2.513
Si 0.000 2.513 0.000
Si 2.513 0.000 0.000

20
Lattice="5.552 3.206 3.676 -5.552 3.206 3.676 0.000 -6.411 3.676" Properties=species:S:1:pos:R:3 comment="Y3HfSi6, relaxed, DFT PBE-GGA" magnetic_moment_mub_per_cell=0.000 e_form_raw_ev_per_atom=-0.617 density_g_cm3=5.2 pbc="T T T"
Y -3.136 0.980 4.595
Y -2.416 -2.226 6.432
Y 0.720 -3.206 4.595
Y -0.720 3.206 6.432
Y 2.416 2.226 4.595
Y 3.136 -0.980 6.432
Hf 0.000 0.000 0.000
Hf 0.000 0.000 5.514
Si -0.409 -2.060 1.772
Si -1.580 1.384 1.772
Si -1.580 -1.384 3.742
Si 1.988 0.676 1.772
Si -0.409 2.060 3.742
Si 1.988 -0.676 3.742
Si -1.988 0.676 7.285
Si 0.409 -2.060 7.285
Si -1.988 -0.676 9.255
Si 1.580 1.384 7.285
Si 1.580 -1.384 9.255
Si 0.409 2.060 9.255

8
Lattice="-4.060 4.060 2.873 4.060 -4.060 2.873 4.060 4.060 -2.873" Properties=species:S:1:pos:R:3 comment="YHf2Si, relaxed, DFT PBE-GGA" magnetic_moment_mub_per_cell=0.000 e_form_raw_ev_per_atom=0.104 density_g_cm3=8.3 pbc="T T T"
Y 0.000 0.000 0.000
Y 0.000 4.060 1.436
Hf 2.030 -1.560 2.155
Hf 2.501 2.030 0.718
Hf 2.030 5.620 -0.718
Hf 1.560 2.030 3.591
Si 4.060 0.000 1.436
Si 0.000 0.000 2.873